Entry 1:
# Ti8TcNi2 PBE optimized geometry
# * raw total energy: -172.3 eV per cell
# * spin magnetization: 0.00 μB per atom
data_Ti8TcNi2
_space_group_name_H-M_alt 'C 1 2/m 1'
_space_group_IT_number 12
_space_group_name_Hall '-C 2y'
_cell_length_a 7.034
_cell_length_b 11.862
_cell_length_c 4.610
_cell_angle_alpha 90.00
_cell_angle_beta 112.30
_cell_angle_gamma 90.00
loop_
_atom_site_label
_atom_site_type_symbol
_atom_site_fract_x
_atom_site_fract_y
_atom_site_fract_z
_atom_site_occupancy
Ti1 Ti 0.000 0.215 0.000 1
Ti2 Ti 0.118 0.500 0.813 1
Ti3 Ti 0.210 0.114 0.597 1
Tc1 Tc 0.000 0.000 0.000 1
Ni1 Ni 0.000 0.301 0.500 1



Entry 2:
# Ti3TcNi PBE optimized geometry
# * polymorph energy (0 for the lowest one): 0 meV/atom
# * raw total energy: -167.2 eV per cell
# * spin magnetization: 0.00 μB per atom
data_Ti3TcNi
_space_group_name_H-M_alt 'C m c m'
_space_group_IT_number 63
_space_group_name_Hall '-C 2c 2'
_cell_length_a 4.332
_cell_length_b 15.761
_cell_length_c 4.334
_cell_angle_alpha 90.00
_cell_angle_beta 90.00
_cell_angle_gamma 90.00
loop_
_atom_site_label
_atom_site_type_symbol
_atom_site_fract_x
_atom_site_fract_y
_atom_site_fract_z
_atom_site_occupancy
Ti1 Ti 0.000 0.057 0.250 1
Ti2 Ti 0.000 0.250 0.250 1
Ti3 Ti 0.000 0.443 0.250 1
Tc1 Tc 0.000 0.154 0.750 1
Ni1 Ni 0.000 0.348 0.750 1



Entry 3:
# TiTc2Ni PBE optimized geometry
# * raw total energy: -131.4 eV per cell
# * spin magnetization: 0.20 μB per atom
data_TiTc2Ni
_space_group_name_H-M_alt 'I -4 2 d'
_space_group_IT_number 122
_space_group_name_Hall 'I -4 2bw'
_cell_length_a 6.924
_cell_length_b 6.924
_cell_length_c 5.028
_cell_angle_alpha 90.00
_cell_angle_beta 90.00
_cell_angle_gamma 90.00
loop_
_atom_site_label
_atom_site_type_symbol
_atom_site_fract_x
_atom_site_fract_y
_atom_site_fract_z
_atom_site_occupancy
Ti1 Ti 0.000 0.000 0.000 1
Tc1 Tc 0.229 0.250 0.625 1
Ni1 Ni 0.000 0.000 0.500 1



Entry 4:
# Ti4Tc3Ni PBE optimized geometry
# * raw total energy: -72.6 eV per cell
# * spin magnetization: 0.00 μB per atom
data_Ti4Tc3Ni
_space_group_name_H-M_alt 'P m m m'
_space_group_IT_number 47
_space_group_name_Hall '-P 2 2'
_cell_length_a 3.119
_cell_length_b 4.354
_cell_length_c 8.643
_cell_angle_alpha 90.00
_cell_angle_beta 90.00
_cell_angle_gamma 90.00
loop_
_atom_site_label
_atom_site_type_symbol
_atom_site_fract_x
_atom_site_fract_y
_atom_site_fract_z
_atom_site_occupancy
Ti1 Ti 0.000 0.000 0.000 1
Ti2 Ti 0.000 0.000 0.500 1
Ti3 Ti 0.000 0.500 0.249 1
Tc1 Tc 0.500 0.000 0.259 1
Tc2 Tc 0.500 0.500 0.000 1
Ni1 Ni 0.500 0.500 0.500 1



Entry 5:
# Ti4TcNi PBE optimized geometry
# * polymorph energy (0 for the lowest one): 376 meV/atom
# * raw total energy: -94.7 eV per cell
# * spin magnetization: 0.00 μB per atom
data_Ti4TcNi
_space_group_name_H-M_alt 'C 1 2/m 1'
_space_group_IT_number 12
_space_group_name_Hall '-C 2y'
_cell_length_a 7.481
_cell_length_b 4.324
_cell_length_c 6.984
_cell_angle_alpha 90.00
_cell_angle_beta 111.04
_cell_angle_gamma 90.00
loop_
_atom_site_label
_atom_site_type_symbol
_atom_site_fract_x
_atom_site_fract_y
_atom_site_fract_z
_atom_site_occupancy
Ti1 Ti 0.124 0.000 0.373 1
Ti2 Ti 0.128 0.500 0.883 1
Tc1 Tc 0.000 0.500 0.500 1
Ni1 Ni 0.000 0.000 0.000 1



Entry 6:
# Ti4Tc2Ni PBE optimized geometry
# * polymorph energy (0 for the lowest one): 628 meV/atom
# * raw total energy: -110.8 eV per cell
# * spin magnetization: 0.00 μB per atom
data_Ti4Tc2Ni
_space_group_name_H-M_alt 'I 4/m m m'
_space_group_IT_number 139
_space_group_name_Hall '-I 4 2'
_cell_length_a 4.443
_cell_length_b 4.443
_cell_length_c 12.491
_cell_angle_alpha 90.00
_cell_angle_beta 90.00
_cell_angle_gamma 90.00
loop_
_atom_site_label
_atom_site_type_symbol
_atom_site_fract_x
_atom_site_fract_y
_atom_site_fract_z
_atom_site_occupancy
Ti1 Ti 0.000 0.000 0.193 1
Ti2 Ti 0.000 0.500 0.000 1
Tc1 Tc 0.000 0.000 0.380 1
Ni1 Ni 0.000 0.000 0.000 1



Entry 7:
# Ti6Tc5Ni PBE optimized geometry
# * raw total energy: -222.2 eV per cell
# * spin magnetization: 0.00 μB per atom
data_Ti6Tc5Ni
_space_group_name_H-M_alt 'I m m m'
_space_group_IT_number 71
_space_group_name_Hall '-I 2 2'
_cell_length_a 4.370
_cell_length_b 6.175
_cell_length_c 13.142
_cell_angle_alpha 90.00
_cell_angle_beta 90.00
_cell_angle_gamma 90.00
loop_
_atom_site_label
_atom_site_type_symbol
_atom_site_fract_x
_atom_site_fract_y
_atom_site_fract_z
_atom_site_occupancy
Ti1 Ti 0.000 0.247 0.000 1
Ti2 Ti 0.000 0.252 0.332 1
Tc1 Tc 0.000 0.000 0.167 1
Tc2 Tc 0.000 0.500 0.163 1
Tc3 Tc 0.000 0.500 0.500 1
Ni1 Ni 0.000 0.000 0.500 1



Entry 8:
# Ti4TcNi PBE optimized geometry
# * polymorph energy (0 for the lowest one): 0 meV/atom
# * raw total energy: -49.6 eV per cell
# * spin magnetization: 0.00 μB per atom
data_Ti4TcNi
_space_group_name_H-M_alt 'P 4/m m m'
_space_group_IT_number 123
_space_group_name_Hall '-P 4 2'
_cell_length_a 3.094
_cell_length_b 3.094
_cell_length_c 9.501
_cell_angle_alpha 90.00
_cell_angle_beta 90.00
_cell_angle_gamma 90.00
loop_
_atom_site_label
_atom_site_type_symbol
_atom_site_fract_x
_atom_site_fract_y
_atom_site_fract_z
_atom_site_occupancy
Ti1 Ti 0.000 0.000 0.155 1
Ti2 Ti 0.500 0.500 0.341 1
Tc1 Tc 0.000 0.000 0.500 1
Ni1 Ni 0.500 0.500 0.000 1



Entry 9:
# Ti3TcNi2 PBE optimized geometry
# * raw total energy: -48.3 eV per cell
# * spin magnetization: 0.00 μB per atom
data_Ti3TcNi2
_space_group_name_H-M_alt 'P 4/m m m'
_space_group_IT_number 123
_space_group_name_Hall '-P 4 2'
_cell_length_a 3.109
_cell_length_b 3.109
_cell_length_c 8.770
_cell_angle_alpha 90.00
_cell_angle_beta 90.00
_cell_angle_gamma 90.00
loop_
_atom_site_label
_atom_site_type_symbol
_atom_site_fract_x
_atom_site_fract_y
_atom_site_fract_z
_atom_site_occupancy
Ti1 Ti 0.000 0.000 0.000 1
Ti2 Ti 0.000 0.000 0.332 1
Tc1 Tc 0.500 0.500 0.500 1
Ni1 Ni 0.500 0.500 0.157 1



Entry 10:
# TiTc3Ni PBE optimized geometry
# * raw total energy: -38.8 eV per cell
# * spin magnetization: 0.38 μB per atom
data_TiTc3Ni
_space_group_name_H-M_alt 'P m -3 m'
_space_group_IT_number 221
_space_group_name_Hall '-P 4 2 3'
_cell_length_a 4.410
_cell_length_b 4.410
_cell_length_c 4.410
_cell_angle_alpha 90.00
_cell_angle_beta 90.00
_cell_angle_gamma 90.00
loop_
_atom_site_label
_atom_site_type_symbol
_atom_site_fract_x
_atom_site_fract_y
_atom_site_fract_z
_atom_site_occupancy
Ti1 Ti 0.000 0.000 0.000 1
Tc1 Tc 0.000 0.500 0.500 1
Ni1 Ni 0.500 0.500 0.500 1



Entry 11:
# Ti3TcNi PBE optimized geometry
# * polymorph energy (0 for the lowest one): 1166 meV/atom
# * raw total energy: -36.0 eV per cell
# * spin magnetization: 0.00 μB per atom
data_Ti3TcNi
_space_group_name_H-M_alt 'P m -3 m'
_space_group_IT_number 221
_space_group_name_Hall '-P 4 2 3'
_cell_length_a 4.652
_cell_length_b 4.652
_cell_length_c 4.652
_cell_angle_alpha 90.00
_cell_angle_beta 90.00
_cell_angle_gamma 90.00
loop_
_atom_site_label
_atom_site_type_symbol
_atom_site_fract_x
_atom_site_fract_y
_atom_site_fract_z
_atom_site_occupancy
Ti1 Ti 0.000 0.000 0.500 1
Tc1 Tc 0.000 0.000 0.000 1
Ni1 Ni 0.500 0.500 0.500 1



Entry 12:
# TiTcNi4 PBE optimized geometry
# * raw total energy: -169.2 eV per cell
# * spin magnetization: 0.45 μB per atom
data_TiTcNi4
_space_group_name_H-M_alt 'F -4 3 m'
_space_group_IT_number 216
_space_group_name_Hall 'F -4 2 3'
_cell_length_a 6.658
_cell_length_b 6.658
_cell_length_c 6.658
_cell_angle_alpha 90.00
_cell_angle_beta 90.00
_cell_angle_gamma 90.00
loop_
_atom_site_label
_atom_site_type_symbol
_atom_site_fract_x
_atom_site_fract_y
_atom_site_fract_z
_atom_site_occupancy
Ti1 Ti 0.000 0.000 0.000 1
Tc1 Tc 0.250 0.250 0.250 1
Ni1 Ni 0.125 0.125 0.625 1



no.,Fermi-level density of states (states/eV/atom),ΔE_f (kJ per mole of atoms)
1,1.5439,-9
2,0.9234,-38
3,1.3365,38
4,0.5507,-49
5,1.4504,6
6,1.2101,37
7,0.6435,-49
8,1.1654,-30
9,1.0861,-43
10,1.8418,116
11,1.9835,74
12,1.4511,-15